# 1
VASP calculation (PBE) on Na2VH after structural relaxation.

For the total moment, the calculation gives 3.9 μB per formula unit.

Cell: 7.3696 7.3696 7.3696 Å, 93.44 93.44 151.66°
Last column: nearest neighbours and their distance in Å.
Positions (direct):
Na 0.3750 0.2265 0.3515  2 H 2.76, 2 V 3.04
Na 0.7735 0.1250 0.1485  2 H 2.76, 2 V 3.04
Na 0.8750 0.0235 0.6485  2 H 2.76, 2 V 3.04
Na 0.9765 0.6250 0.8515  2 H 2.76, 2 V 3.04
V 0.2500 0.7500 0.5000  2 H 1.80
V 0.5000 0.5000 0.0000  2 H 1.80
H 0.0000 0.0000 0.0000  2 V 1.80
H 0.7500 0.2500 0.5000  2 V 1.80

=====

# 2
VASP calculation (PBE) on FeCo7Ni3 after structural relaxation.

For the total moment, the calculation gives 16.5 μB per formula unit. For the formation energy, the calculation gives 0.2220 eV per atom.

Cell: 9.4477 9.4477 11.3621 Å, 90.00 90.00 165.12°
Last column: nearest neighbours and their distance in Å.
Positions (direct):
Fe 0.0160 0.9840 0.7500  2 Fe 2.45, 8 Co 2.48
Fe 0.9840 0.0160 0.2500  2 Fe 2.45, 8 Co 2.48
Co 0.2773 0.7227 0.0855  5 Ni 2.40-2.49, 5 Co 2.45-2.51
Co 0.2773 0.7227 0.4145  5 Ni 2.40-2.49, 5 Co 2.45-2.51
Co 0.3835 0.6165 0.7500  4 Co 2.41-2.45, 4 Ni 2.53
Co 0.4084 0.5916 0.1062  5 Co 2.37-2.47, 2 Fe 2.48, 4 Ni 2.49-2.53
Co 0.4084 0.5916 0.3938  5 Co 2.37-2.47, 2 Fe 2.48, 4 Ni 2.49-2.53
Co 0.4624 0.5376 0.5821  6 Co 2.34-2.45, 2 Ni 2.45, 2 Fe 2.48
Co 0.4624 0.5376 0.9179  6 Co 2.34-2.45, 2 Ni 2.45, 2 Fe 2.48
Co 0.5376 0.4624 0.0821  6 Co 2.34-2.45, 2 Ni 2.45, 2 Fe 2.48
Co 0.5376 0.4624 0.4179  6 Co 2.34-2.45, 2 Ni 2.45, 2 Fe 2.48
Co 0.5916 0.4084 0.6062  5 Co 2.37-2.47, 2 Fe 2.48, 4 Ni 2.49-2.53
Co 0.5916 0.4084 0.8938  5 Co 2.37-2.47, 2 Fe 2.48, 4 Ni 2.49-2.53
Co 0.6165 0.3835 0.2500  4 Co 2.41-2.45, 4 Ni 2.53
Co 0.7227 0.2773 0.5855  5 Ni 2.40-2.49, 5 Co 2.45-2.51
Co 0.7227 0.2773 0.9145  5 Ni 2.40-2.49, 5 Co 2.45-2.51
Ni 0.1501 0.8499 0.0636  9 Co 2.40-2.53, 2 Ni 2.45
Ni 0.1501 0.8499 0.4364  9 Co 2.40-2.53, 2 Ni 2.45
Ni 0.1673 0.8327 0.7500  2 Ni 2.45, 8 Co 2.46-2.49
Ni 0.8327 0.1673 0.2500  2 Ni 2.45, 8 Co 2.46-2.49
Ni 0.8499 0.1501 0.5636  9 Co 2.40-2.53, 2 Ni 2.45
Ni 0.8499 0.1501 0.9364  9 Co 2.40-2.53, 2 Ni 2.45

=====

# 3
VASP calculation (PBE) on Na3Sb4Au2 after structural relaxation.

For the total moment, the calculation gives 0.0 μB per formula unit. Its energy relative to the elements, uncorrected is -0.249 eV/atom.

Cell: 6.4085 6.4085 9.5929 Å, 102.83 102.83 41.62°
Last column: nearest neighbours and their distance in Å.
Positions (direct):
Na 0.0000 0.0000 0.0000  4 Sb 3.16-3.41, 4 Au 3.49
Na 0.3194 0.3194 0.3849  3 Au 3.21-3.32, 7 Sb 3.41-3.50
Na 0.6806 0.6806 0.6151  3 Au 3.21-3.32, 7 Sb 3.41-3.50
Sb 0.0308 0.0308 0.3622  2 Au 2.73, 1 Sb 2.91
Sb 0.2317 0.2317 0.8961  1 Au 2.69, 2 Sb 2.99
Sb 0.7683 0.7683 0.1039  1 Au 2.69, 2 Sb 2.99
Sb 0.9692 0.9692 0.6378  2 Au 2.73, 1 Sb 2.91
Au 0.3836 0.3836 0.7291  3 Sb 2.69-2.73
Au 0.6164 0.6164 0.2709  3 Sb 2.69-2.73

=====

Number 1: total DFT energy (no corrections) -25.5 eV for the cell shown. Number 2: total DFT energy (no corrections) -146.2 eV for the cell shown. Number 3: total DFT energy (no corrections) -29.2 eV for the cell shown.